A plane-wave DFT calculation with PBE-GGA was carried out for crystalline TaSnF7 at its relaxed geometry.

The structure in CIF format:
```
data_TaSnF7
_chemical_formula_sum 'Ta2 Sn2 F14'
_cell_length_a 4.7212
_cell_length_b 7.1174
_cell_length_c 6.5530
_cell_angle_alpha 90.00
_cell_angle_beta 93.89
_cell_angle_gamma 90.00
_space_group_name_H-M_alt 'P 1 21/m 1'
_space_group_IT_number 11
_space_group_name_Hall '-P 2yb'
loop_
_atom_site_label
_atom_site_fract_x
_atom_site_fract_y
_atom_site_fract_z
Ta1 0.0385 0.2500 0.2082
Sn1 0.4853 0.2500 0.6824
F1 0.0982 0.7500 0.5093
F2 0.1218 0.7500 0.0795
F3 0.1899 0.5281 0.8040
F4 0.3060 0.0690 0.3591
F5 0.3672 0.2500 0.0486
```

Calculated values
- calculated total energy (eV/atom) = -6.0864